[1]
# Ce6Bi3SbAs2 | the Alexandria database | PBE | relaxed
# E_tot (Ry per atom): -0.447
# Fermi-level density of states (states/eV/cell): 36.0
data_Ce6Bi3SbAs2
_chemical_formula_sum 'Ce6 Bi3 Sb1 As2'
_cell_length_a 4.4289
_cell_length_b 8.9615
_cell_length_c 9.9789
_cell_angle_alpha 103.57
_cell_angle_beta 102.82
_cell_angle_gamma 90.00
_space_group_name_H-M_alt 'P 1'
_space_group_IT_number 1
_space_group_name_Hall 'P 1'
loop_
_atom_site_label
_atom_site_fract_x
_atom_site_fract_y
_atom_site_fract_z
Bi1 0.5000 0.5000 0.0000
Bi2 0.8366 0.1677 0.6733
Bi3 0.1634 0.8323 0.3267
As1 0.1682 0.3349 0.3363
As2 0.8318 0.6651 0.6637
Ce1 0.6723 0.5698 0.3446
Ce2 0.9918 0.7496 0.9836
Ce3 0.6674 0.1016 0.3348
Ce4 0.3277 0.4302 0.6554
Ce5 0.0082 0.2504 0.0164
Ce6 0.3326 0.8984 0.6652
Sb1 0.5000 0.0000 0.0000


[2]
# Ce6BiSb3As2 | the Alexandria database | PBE | relaxed
# E_tot (Ry per atom): -0.456
# Fermi-level density of states (states/eV/cell): 35.9
data_Ce6BiSb3As2
_chemical_formula_sum 'Ce6 Bi1 Sb3 As2'
_cell_length_a 4.4096
_cell_length_b 8.8829
_cell_length_c 9.8847
_cell_angle_alpha 102.94
_cell_angle_beta 102.89
_cell_angle_gamma 90.00
_space_group_name_H-M_alt 'P 1'
_space_group_IT_number 1
_space_group_name_Hall 'P 1'
loop_
_atom_site_label
_atom_site_fract_x
_atom_site_fract_y
_atom_site_fract_z
As1 0.1685 0.3351 0.3369
As2 0.8315 0.6649 0.6631
Ce1 0.3292 0.4263 0.6584
Ce2 0.9927 0.7414 0.9855
Ce3 0.3294 0.9011 0.6587
Ce4 0.6708 0.5737 0.3416
Ce5 0.0073 0.2586 0.0145
Ce6 0.6706 0.0989 0.3413
Sb1 0.1627 0.8321 0.3253
Sb2 0.5000 0.5000 0.0000
Sb3 0.8373 0.1679 0.6747
Bi1 0.5000 0.0000 0.0000


[3]
# Ce4BiAsSe2 | the Alexandria database | PBE | relaxed
# E_tot (Ry per atom): -0.466
# Fermi-level density of states (states/eV/cell): 26.0
data_Ce4BiAsSe2
_chemical_formula_sum 'Ce4 Bi1 As1 Se2'
_cell_length_a 4.3055
_cell_length_b 7.4183
_cell_length_c 7.5356
_cell_angle_alpha 70.60
_cell_angle_beta 90.00
_cell_angle_gamma 90.00
_space_group_name_H-M_alt 'P 1'
_space_group_IT_number 1
_space_group_name_Hall 'P 1'
loop_
_atom_site_label
_atom_site_fract_x
_atom_site_fract_y
_atom_site_fract_z
Ce1 0.5000 0.2467 0.7372
Ce2 0.0000 0.7645 0.7309
Ce3 0.0000 0.2355 0.2691
Ce4 0.5000 0.7533 0.2628
Se1 0.5000 0.0000 0.5000
Se2 0.0000 0.0000 0.0000
As1 0.0000 0.5000 0.5000
Bi1 0.5000 0.5000 0.0000


[4]
# Ce4BiAs2Se | the Alexandria database | PBE | relaxed
# E_tot (Ry per atom): -0.470
# Fermi-level density of states (states/eV/cell): 23.9
data_Ce4BiAs2Se
_chemical_formula_sum 'Ce4 Bi1 As2 Se1'
_cell_length_a 4.3002
_cell_length_b 7.5256
_cell_length_c 7.4593
_cell_angle_alpha 70.75
_cell_angle_beta 90.00
_cell_angle_gamma 90.00
_space_group_name_H-M_alt 'P 1'
_space_group_IT_number 1
_space_group_name_Hall 'P 1'
loop_
_atom_site_label
_atom_site_fract_x
_atom_site_fract_y
_atom_site_fract_z
As1 0.0000 0.0000 0.0000
As2 0.5000 0.0000 0.5000
Ce1 0.5000 0.7635 0.2538
Ce2 0.5000 0.2365 0.7462
Ce3 0.0000 0.2309 0.2651
Ce4 0.0000 0.7691 0.7349
Bi1 0.5000 0.5000 0.0000
Se1 0.0000 0.5000 0.5000


[5]
# CeSmBiAs | the Alexandria database | PBE | relaxed
# DFT formation energy (meV/atom): -1151
# E_tot (Ry per atom): -0.437
# Fermi-level density of states (states/eV/cell): 5.8
data_CeSmBiAs
_chemical_formula_sum 'Ce1 Sm1 Bi1 As1'
_cell_length_a 4.3643
_cell_length_b 4.3643
_cell_length_c 7.6914
_cell_angle_alpha 73.52
_cell_angle_beta 73.52
_cell_angle_gamma 60.00
_space_group_name_H-M_alt 'P 1'
_space_group_IT_number 1
_space_group_name_Hall 'P 1'
loop_
_atom_site_label
_atom_site_fract_x
_atom_site_fract_y
_atom_site_fract_z
Sm1 0.5078 0.5078 0.4766
Bi1 0.7498 0.7498 0.7507
Ce1 0.9922 0.9922 0.0234
As1 0.2502 0.2502 0.2494


[6]
# Ce6BiTe3As2 | the Alexandria database | PBE | relaxed
# E_tot (Ry per atom): -0.451
# Fermi-level density of states (states/eV/cell): 40.3
data_Ce6BiTe3As2
_chemical_formula_sum 'Ce6 Bi1 Te3 As2'
_cell_length_a 4.3987
_cell_length_b 8.9053
_cell_length_c 9.8952
_cell_angle_alpha 103.11
_cell_angle_beta 102.84
_cell_angle_gamma 90.00
_space_group_name_H-M_alt 'P 1'
_space_group_IT_number 1
_space_group_name_Hall 'P 1'
loop_
_atom_site_label
_atom_site_fract_x
_atom_site_fract_y
_atom_site_fract_z
As1 0.8313 0.6640 0.6626
As2 0.1687 0.3360 0.3374
Bi1 0.5000 0.0000 0.0000
Te1 0.8381 0.1674 0.6763
Te2 0.1619 0.8326 0.3237
Te3 0.5000 0.5000 0.0000
Ce1 0.3276 0.4296 0.6552
Ce2 0.6707 0.1055 0.3413
Ce3 0.9900 0.7412 0.9800
Ce4 0.6724 0.5704 0.3448
Ce5 0.3293 0.8945 0.6587
Ce6 0.0100 0.2588 0.0200


[7]
# CeYBiAs | the Alexandria database | PBE | relaxed
# DFT formation energy (meV/atom): -1147
# E_tot (Ry per atom): -0.469
# Fermi-level density of states (states/eV/cell): 6.0
data_CeYBiAs
_chemical_formula_sum 'Ce1 Y1 Bi1 As1'
_cell_length_a 4.3268
_cell_length_b 4.3268
_cell_length_c 7.6147
_cell_angle_alpha 73.49
_cell_angle_beta 73.49
_cell_angle_gamma 60.00
_space_group_name_H-M_alt 'P 1'
_space_group_IT_number 1
_space_group_name_Hall 'P 1'
loop_
_atom_site_label
_atom_site_fract_x
_atom_site_fract_y
_atom_site_fract_z
Ce1 0.2580 0.2580 0.2260
Bi1 0.4984 0.4984 0.5047
As1 0.0016 0.0016 0.9953
Y1 0.7420 0.7420 0.7740


[8]
# BiAs2Cl8 | the Alexandria database | PBE | relaxed
# E_tot (Ry per atom): -0.231
# Fermi-level density of states (states/eV/cell): 2.1
data_BiAs2Cl8
_chemical_formula_sum 'Bi1 As2 Cl8'
_cell_length_a 7.7322
_cell_length_b 7.9050
_cell_length_c 7.9050
_cell_angle_alpha 68.88
_cell_angle_beta 71.56
_cell_angle_gamma 71.56
_space_group_name_H-M_alt 'P 1'
_space_group_IT_number 1
_space_group_name_Hall 'P 1'
loop_
_atom_site_label
_atom_site_fract_x
_atom_site_fract_y
_atom_site_fract_z
Bi1 0.0000 0.0000 0.0000
Cl1 0.1987 0.3311 0.3311
Cl2 0.2133 0.2786 0.9087
Cl3 0.7867 0.7214 0.0913
Cl4 0.2958 0.8033 0.8033
Cl5 0.8013 0.6689 0.6689
Cl6 0.2133 0.9087 0.2786
Cl7 0.7042 0.1967 0.1967
Cl8 0.7867 0.0913 0.7214
As1 0.3742 0.1550 0.1550
As2 0.6258 0.8450 0.8450